Li2V2F: relaxed, GGA+U.

a b c (Å): 4.957 4.957 6.078
angles (deg): 90.00 90.00 90.00
Each line ends with the local moment (μB).
Fractional coordinates of all 10 atoms:
V 0.331 0.169 0.500  0.30
Li 0.312 0.812 0.000  0.00
Li 0.188 0.312 0.000  0.00
F 0.000 0.000 0.000  0.01
F 0.500 0.500 0.000  0.01
V 0.669 0.831 0.500  0.30
V 0.169 0.669 0.500  0.30
V 0.831 0.331 0.500  0.30
Li 0.812 0.688 0.000  0.00
Li 0.688 0.188 0.000  0.00

## Properties
offset from the most stable computed form: 0.000 eV per atom
crystal system: tetragonal
M_tot: 0.731 μB/f.u.
DOS at the Fermi energy: 0.453 states/eV per atom